No. 1
Entry from Alexandria via LeMat-Bulk: a geometry-optimized Nd2Sm2Sn3 structure (PBE).

a = 5.376 Å, b = 5.388 Å, c = 9.389 Å
α = 73.68°, β = 73.69°, γ = 60.36°
Atoms (fractional coordinates):
Nd 0.126 0.125 0.122
Nd 0.874 0.875 0.878
Sm 0.378 0.377 0.364
Sm 0.622 0.623 0.636
Sn 0.260 0.261 0.720
Sn 0.500 0.500 0.000
Sn 0.740 0.739 0.280

## Properties
* formation energy: -0.570 eV per atom



No. 2
Entry from Alexandria via LeMat-Bulk: a geometry-optimized NdSm8Sn2 structure (PBE).

a = 8.957 Å, b = 8.957 Å, c = 6.418 Å
α = 94.34°, β = 94.34°, γ = 44.81°
Atoms (fractional coordinates):
Nd 0.000 0.000 0.000
Sm 0.155 0.645 0.592
Sm 0.214 0.214 0.833
Sm 0.355 0.845 0.408
Sm 0.416 0.416 0.104
Sm 0.584 0.584 0.896
Sm 0.645 0.155 0.592
Sm 0.786 0.786 0.167
Sm 0.845 0.355 0.408
Sn 0.256 0.256 0.330
Sn 0.744 0.744 0.670

## Properties
* formation energy: -0.183 eV per atom



No. 3
Entry from Alexandria via LeMat-Bulk: a geometry-optimized Nd4SmSn4 structure (PBE).

a = 9.658 Å, b = 9.658 Å, c = 6.440 Å
α = 90.00°, β = 90.00°, γ = 90.00°
Atoms (fractional coordinates):
Nd 0.044 0.666 0.121
Nd 0.166 0.956 0.621
Nd 0.334 0.544 0.621
Nd 0.456 0.834 0.121
Nd 0.544 0.166 0.879
Nd 0.666 0.456 0.379
Nd 0.834 0.044 0.379
Nd 0.956 0.334 0.879
Sm 0.250 0.250 0.250
Sm 0.750 0.750 0.750
Sn 0.026 0.639 0.616
Sn 0.139 0.974 0.116
Sn 0.361 0.526 0.116
Sn 0.474 0.861 0.616
Sn 0.526 0.139 0.384
Sn 0.639 0.474 0.884
Sn 0.861 0.026 0.884
Sn 0.974 0.361 0.384

## Properties
* formation energy: -0.475 eV per atom